Entry 1:
Below is a relaxed MgCu2 crystal, with properties calculated at the PBE level.

It has space group P4_2/mnm (No. 136), with a = 5.066 Å, b = 5.066 Å, c = 4.549 Å, α = 90.00°, β = 90.00° and γ = 90.00°. The asymmetric unit holds Mg at (0.000, 0.000, 0.000) and Cu at (0.162, 0.162, 0.500).

Entry 2:
Below is a relaxed BiOsO4 crystal, with properties calculated at the PBE level.

As for the magnetic moment: 0.68 μB/f.u. The energy above the most stable polymorph in this dataset comes out at 1.43 eV per formula unit.

It has space group I4_1/a (No. 88, origin choice 2), with a = 5.292 Å, b = 5.292 Å, c = 11.223 Å, α = 90.00°, β = 90.00° and γ = 90.00°. The asymmetric unit holds Bi at (0.000, 0.250, 0.125), Os at (0.000, 0.250, 0.625) and O at (0.181, 0.009, 0.712).

Entry 3:
Below is a relaxed Re2TcAs crystal, with properties calculated at the PBE level.

As for the magnetic moment: 0.00 μB/f.u.

It has space group F-43m (No. 216), with a = 6.207 Å, b = 6.207 Å, c = 6.207 Å, α = 90.00°, β = 90.00° and γ = 90.00°. The asymmetric unit holds Re at (0.000, 0.000, 0.000), Re at (0.250, 0.250, 0.250), Tc at (0.250, 0.250, 0.750) and As at (0.000, 0.000, 0.500).

| no. | VASP energy (eV per atom) | V (Å³/atom) |
| --- | --- | --- |
| 1 | -2.298 | 19.5 |
| 2 | -6.696 | 13.1 |
| 3 | -9.606 | 14.9 |